# 1
The following is a PBE calculation of crystalline MgCuRe4 at its relaxed geometry, from Alexandria.

- Uncorrected energy: -8.7447 eV per atom
- Volume: 99 Å³/f.u.
- E_form: 503 meV/atom

Cell: 5.2002 5.2002 5.2002 Å, 60.00 60.00 60.00°
Last column: nearest neighbours and their distance in Å.
Fractional coordinates of all 6 atoms:
Mg  0.0000  0.0000  0.0000  12 Re 3.05, 4 Cu 3.18
Cu  0.2500  0.2500  0.2500  12 Re 3.05, 4 Mg 3.18
Re  0.1265  0.6245  0.6245  6 Re 2.59-2.61
Re  0.6245  0.1265  0.6245  6 Re 2.59-2.61
Re  0.6245  0.6245  0.1265  6 Re 2.59-2.61
Re  0.6245  0.6245  0.6245  6 Re 2.59-2.61

=====

# 2
The following is a PBE calculation of crystalline BrClF2 at its relaxed geometry, from Alexandria.

- Uncorrected energy: -2.0465 eV per atom
- Volume: 84 Å³/f.u.
- Energy above the most stable polymorph in this dataset: 364 meV/atom
- Uncorrected formation energy: -0.231 eV/atom

Cell: 10.2080 10.2080 10.2080 Å, 17.55 17.55 17.55°
Last column: nearest neighbours and their distance in Å.
Fractional coordinates of all 4 atoms:
Br  0.0000  0.0000  0.0000  2 F 1.86
Cl  0.5000  0.5000  0.5000  6 Cl 3.11
F  0.0617  0.0617  0.0617  1 Br 1.86
F  0.9383  0.9383  0.9383  1 Br 1.86

=====

# 3
The following is a PBE calculation of crystalline MgZn4Pt at its relaxed geometry, from Alexandria.

- Uncorrected energy: -2.3180 eV per atom
- Volume: 103 Å³/f.u.
- Energy above the most stable polymorph in this dataset: 119 meV/atom
- E_form: -196 meV/atom

Cell: 6.7253 6.7253 7.2443 Å, 90.00 90.00 141.06°
Last column: nearest neighbours and their distance in Å.
Fractional coordinates of all 12 atoms:
Mg  0.1273  0.8727  0.7500  5 Zn 2.55-2.85, 1 Pt 2.65
Mg  0.8727  0.1273  0.2500  5 Zn 2.55-2.85, 1 Pt 2.65
Zn  0.0738  0.9262  0.2500  2 Pt 2.52, 1 Mg 2.55, 2 Zn 2.79
Zn  0.2723  0.7277  0.0829  3 Zn 2.42-2.60, 1 Pt 2.54
Zn  0.2723  0.7277  0.4171  3 Zn 2.42-2.60, 1 Pt 2.54
Zn  0.5000  0.5000  0.0000  2 Pt 2.76, 6 Zn 2.95-3.03
Zn  0.5000  0.5000  0.5000  2 Pt 2.76, 6 Zn 2.95-3.03
Zn  0.7277  0.2723  0.5829  3 Zn 2.42-2.60, 1 Pt 2.54
Zn  0.7277  0.2723  0.9171  3 Zn 2.42-2.60, 1 Pt 2.54
Zn  0.9262  0.0738  0.7500  2 Pt 2.52, 1 Mg 2.55, 2 Zn 2.79
Pt  0.3360  0.6640  0.7500  6 Zn 2.52-2.76, 1 Mg 2.65
Pt  0.6640  0.3360  0.2500  6 Zn 2.52-2.76, 1 Mg 2.65

=====

# 4
The following is a PBE calculation of crystalline Ce2SbAs3Pd4 at its relaxed geometry, from Alexandria.

- Uncorrected energy: -5.8735 eV per atom
- Volume: 203 Å³/f.u.
- Uncorrected formation energy: -0.802 eV/atom

Cell: 4.3267 4.3267 10.8331 Å, 90.00 90.00 90.00°
Last column: nearest neighbours and their distance in Å.
Fractional coordinates of all 10 atoms:
Ce  0.0000  0.5000  0.2283  4 As 3.24, 8 Pd 3.29-3.36
Ce  0.5000  0.0000  0.7717  4 As 3.24, 8 Pd 3.29-3.36
Sb  0.0000  0.0000  0.5000  4 Pd 2.66
As  0.0000  0.5000  0.8693  5 Pd 2.45-2.59
As  0.5000  0.0000  0.1307  5 Pd 2.45-2.59
As  0.5000  0.5000  0.5000  4 Pd 2.66
Pd  0.0000  0.0000  0.0000  4 As 2.59
Pd  0.0000  0.5000  0.6435  3 As 2.45-2.66, 2 Sb 2.66
Pd  0.5000  0.0000  0.3565  3 As 2.45-2.66, 2 Sb 2.66
Pd  0.5000  0.5000  0.0000  4 As 2.59

=====

# 5
The following is a PBE calculation of crystalline RbFePb2 at its relaxed geometry, from Alexandria.

- Uncorrected energy: -3.2985 eV per atom
- Volume: 105 Å³/f.u.
- Energy above the most stable polymorph in this dataset: 528 meV/atom
- E_form: 913 meV/atom

Cell: 5.2976 5.2976 5.2976 Å, 60.00 60.00 60.00°
Last column: nearest neighbours and their distance in Å.
Fractional coordinates of all 4 atoms:
Rb  0.0000  0.0000  0.0000  8 Pb 3.24
Fe  0.5000  0.5000  0.5000  8 Pb 3.24
Pb  0.2500  0.2500  0.2500  4 Fe 3.24, 4 Rb 3.24
Pb  0.7500  0.7500  0.7500  4 Fe 3.24, 4 Rb 3.24

=====

# 6
The following is a PBE calculation of crystalline TbCeSmTh at its relaxed geometry, from Alexandria.

- Uncorrected energy: -5.4446 eV per atom
- Volume: 129 Å³/f.u.
- Energy above the most stable polymorph in this dataset: 196 meV/atom
- E_form: 231 meV/atom

Cell: 5.6728 5.6728 5.6728 Å, 60.00 60.00 60.00°
Last column: nearest neighbours and their distance in Å.
Fractional coordinates of all 4 atoms:
Tb  0.0000  0.0000  0.0000  4 Th 3.47, 4 Sm 3.47
Ce  0.5000  0.5000  0.5000  4 Th 3.47, 4 Sm 3.47
Sm  0.2500  0.2500  0.2500  4 Tb 3.47, 4 Ce 3.47
Th  0.7500  0.7500  0.7500  4 Ce 3.47, 4 Tb 3.47

=====

Question: Which formula does entry 6 have?
Answer: TbCeSmTh

=====

Question: Among the records above, which one has the highest volume?
Answer: Ce2SbAs3Pd4

=====

Question: Which formula does entry 2 have?
Answer: BrClF2